The following is a DFT calculation (GGA-PBE) of an optimized crystal structure of LaHo2Er.

Properties
Mass density   8.024 Mg/m³
DOS at the Fermi energy   7.11 states/eV per cell
M_tot   0.005 μB per cell
Formation enthalpy at 0 K   0.1242 eV per atom
Space-group type   Fm-3m (225)
V   131.6 Å³/cell

Cell lengths 5.7097, 5.7097, 5.7097 Å; angles 60.00, 60.00, 60.00 degrees
Last column: nearest neighbours and their distance in Å.
Fractional coordinates of all 4 atoms:
La 0.0000 0.0000 0.0000  8 Ho 3.50
Ho 0.2500 0.2500 0.2500  4 Er 3.50, 4 La 3.50
Ho 0.7500 0.7500 0.7500  4 Er 3.50, 4 La 3.50
Er 0.5000 0.5000 0.5000  8 Ho 3.50


The following is a DFT calculation (GGA-PBE) of an optimized crystal structure of CuMoPt4.

Properties
Mass density   15.629 Mg/m³
DOS at the Fermi energy   8.36 states/eV per cell
M_tot   1.773 μB per cell
Formation enthalpy at 0 K   0.2389 eV per atom
Space-group type   F-43m (216)
V   99.9 Å³/cell

Cell lengths 5.2075, 5.2075, 5.2075 Å; angles 60.00, 60.00, 60.00 degrees
Last column: nearest neighbours and their distance in Å.
Fractional coordinates of all 6 atoms:
Cu 0.0000 0.0000 0.0000  12 Pt 3.05, 4 Mo 3.19
Mo 0.7500 0.7500 0.7500  12 Pt 3.05, 4 Cu 3.19
Pt 0.3749 0.3749 0.3749  6 Pt 2.60-2.61
Pt 0.3749 0.3749 0.8754  6 Pt 2.60-2.61
Pt 0.3749 0.8754 0.3749  6 Pt 2.60-2.61
Pt 0.8754 0.3749 0.3749  6 Pt 2.60-2.61


The following is a DFT calculation (GGA-PBE) of an optimized crystal structure of CaPdC.

Properties
Mass density   4.654 Mg/m³
DOS at the Fermi energy   0.13 states/eV per cell
M_tot   0.000 μB per cell
Formation enthalpy at 0 K   -0.2474 eV per atom
Space-group type   C2/m (12)
V   113.1 Å³/cell

Cell lengths 5.3971, 5.3971, 4.7840 Å; angles 114.65, 114.65, 88.83 degrees
Last column: nearest neighbours and their distance in Å.
Fractional coordinates of all 6 atoms:
Ca 0.0000 0.5000 0.0000  4 C 2.63-2.91, 2 Pd 2.93
Ca 0.5000 0.0000 0.0000  4 C 2.63-2.91, 2 Pd 2.93
Pd 0.1501 0.1501 0.3566  1 C 2.02
Pd 0.8499 0.8499 0.6434  1 C 2.02
C 0.4170 0.4170 0.8447  1 C 1.28
C 0.5830 0.5830 0.1553  1 C 1.28


The following is a DFT calculation (GGA-PBE) of an optimized crystal structure of TeIrBr2.

Properties
Uncorrected formation energy   269 meV per atom
Mass density   5.954 Mg/m³
DOS at the Fermi energy   1.22 states/eV per cell
M_tot   0.000 μB per cell
Space-group type   Cmm2 (35)
V   133.8 Å³/cell

Cell lengths 4.3218, 4.3218, 9.1307 Å; angles 90.00, 90.00, 128.34 degrees
Last column: nearest neighbours and their distance in Å.
Fractional coordinates of all 4 atoms:
Te 0.0000 0.0000 0.0000  2 Ir 2.47
Ir 0.5000 0.5000 0.1752  2 Te 2.47, 2 Br 2.56
Br 0.0000 0.0000 0.3651  2 Ir 2.56
Br 0.5000 0.5000 0.7329  2 Te 3.08


The following is a DFT calculation (GGA-PBE) of an optimized crystal structure of YHg2As.

Properties
Mass density   9.920 Mg/m³
DOS at the Fermi energy   1.32 states/eV per cell
M_tot   0.000 μB per cell
Formation enthalpy at 0 K   -0.5391 eV per atom
Space-group type   P4/mmm (123)
V   94.6 Å³/cell

Cell lengths 4.2075, 4.2075, 5.3425 Å; angles 90.00, 90.00, 90.00 degrees
Last column: nearest neighbours and their distance in Å.
Fractional coordinates of all 4 atoms:
Y 0.0000 0.0000 0.0000  4 As 2.98
Hg 0.0000 0.5000 0.5000  4 Hg 2.98
Hg 0.5000 0.0000 0.5000  4 Hg 2.98
As 0.5000 0.5000 0.0000  4 Y 2.98


The following is a DFT calculation (GGA-PBE) of an optimized crystal structure of Mg2ZnF.

Properties
Uncorrected formation energy   -653 meV per atom
Mass density   3.104 Mg/m³
DOS at the Fermi energy   1.41 states/eV per cell
M_tot   0.000 μB per cell
Space-group type   Fm-3m (225)
V   71.2 Å³/cell

Cell lengths 4.6513, 4.6513, 4.6513 Å; angles 60.00, 60.00, 60.00 degrees
Last column: nearest neighbours and their distance in Å.
Fractional coordinates of all 4 atoms:
Mg 0.2500 0.2500 0.2500  4 F 2.85, 4 Zn 2.85
Mg 0.7500 0.7500 0.7500  4 F 2.85, 4 Zn 2.85
Zn 0.0000 0.0000 0.0000  8 Mg 2.85
F 0.5000 0.5000 0.5000  8 Mg 2.85